A plane-wave DFT calculation with PBE was carried out for crystalline TaP4Se at its relaxed geometry.

Unit cell a=5.091 b=5.091 c=5.091 alpha=60.00 beta=60.00 gamma=60.00
Fractional coordinates of all 6 atoms:
Ta 0.000 0.000 0.000
P 0.375 0.375 0.375
P 0.375 0.375 0.876
P 0.375 0.876 0.375
P 0.876 0.375 0.375
Se 0.750 0.750 0.750

Summary:
volume	93.3	Å³ per cell
ΔE_f (raw)	3.85	eV per formula unit
N(E_F)	5.35	states/eV per cell
VASP energy	-33.1	eV/f.u.